Record 1
GdDyPuSn: optimized geometry, PBE.

Calculated total energy in eV/atom: -9.43
Crystal system: cubic

CIF file:
```
data_GdDyPuSn
_symmetry_space_group_name_H-M 'F -4 3 m'
_symmetry_Int_Tables_number 216
_symmetry_space_group_name_Hall 'F -4 2 3'
_cell_length_a 7.6088
_cell_length_b 7.6088
_cell_length_c 7.6088
_cell_angle_alpha 90.00
_cell_angle_beta 90.00
_cell_angle_gamma 90.00
loop_
_atom_site_label
_atom_site_type_symbol
_atom_site_fract_x
_atom_site_fract_y
_atom_site_fract_z
Gd1 Gd 0.0000 0.0000 0.0000
Dy1 Dy 0.0000 0.0000 0.5000
Pu1 Pu 0.2500 0.2500 0.2500
Sn1 Sn 0.2500 0.2500 0.7500
```


Record 2
RbGeOsAu2: optimized geometry, PBE.

Calculated total energy in eV/atom: -4.40
Crystal system: tetragonal

CIF file:
```
data_RbGeOsAu2
_symmetry_space_group_name_H-M 'P 4/m m m'
_symmetry_Int_Tables_number 123
_symmetry_space_group_name_Hall '-P 4 2'
_cell_length_a 5.2956
_cell_length_b 5.2956
_cell_length_c 4.7097
_cell_angle_alpha 90.00
_cell_angle_beta 90.00
_cell_angle_gamma 90.00
loop_
_atom_site_label
_atom_site_type_symbol
_atom_site_fract_x
_atom_site_fract_y
_atom_site_fract_z
Rb1 Rb 0.0000 0.0000 0.0000
Ge1 Ge 0.5000 0.5000 0.0000
Os1 Os 0.5000 0.5000 0.5000
Au1 Au 0.0000 0.5000 0.5000
```


Record 3
NaNiSe3: optimized geometry, PBE.

Energy relative to the lowest polymorph listed for this composition in eV per atom: 0.000
Formation energy (no corrections) in eV per formula unit: -0.60
Crystal system: cubic

CIF file:
```
data_NaNiSe3
_symmetry_space_group_name_H-M 'P m -3 m'
_symmetry_Int_Tables_number 221
_symmetry_space_group_name_Hall '-P 4 2 3'
_cell_length_a 4.8061
_cell_length_b 4.8061
_cell_length_c 4.8061
_cell_angle_alpha 90.00
_cell_angle_beta 90.00
_cell_angle_gamma 90.00
loop_
_atom_site_label
_atom_site_type_symbol
_atom_site_fract_x
_atom_site_fract_y
_atom_site_fract_z
Na1 Na 0.0000 0.0000 0.0000
Ni1 Ni 0.5000 0.5000 0.5000
Se1 Se 0.0000 0.5000 0.5000
```


Record 4
ThScPb: optimized geometry, PBE.

Energy relative to the lowest polymorph listed for this composition in eV per atom: 0.225
Crystal system: hexagonal

CIF file:
```
data_ThScPb
_symmetry_space_group_name_H-M 'P -6 m 2'
_symmetry_Int_Tables_number 187
_symmetry_space_group_name_Hall 'P -6 2'
_cell_length_a 5.2029
_cell_length_b 5.2029
_cell_length_c 3.6494
_cell_angle_alpha 90.00
_cell_angle_beta 90.00
_cell_angle_gamma 120.00
loop_
_atom_site_label
_atom_site_type_symbol
_atom_site_fract_x
_atom_site_fract_y
_atom_site_fract_z
Th1 Th 0.0000 0.0000 0.0000
Sc1 Sc 0.6667 0.3333 0.5000
Pb1 Pb 0.3333 0.6667 0.5000
```


no.,M_tot (μB/f.u.)
1,0.9
2,0.4
3,0.0
4,0.0